VASP calculation (PBE) on crystalline MgGeN2 at its relaxed geometry.

As for the total energy: -5.5576 eV/atom. Its space-group type is R-3m. As for the density of states at the Fermi level: 0.00 states/eV/atom. The volume comes out at 57 Å³/cell.

a b c (Å): 5.8741 5.8741 5.8741
angles (deg): 34.16 34.16 34.16
With the nearest neighbours (Å) after each atom.
Sites, in units of the cell vectors:
Ge 0.0000 0.0000 0.0000  2 N 1.70
Mg 0.5000 0.5000 0.5000  6 N 2.26
N 0.8977 0.8977 0.8977  1 Ge 1.70
N 0.1023 0.1023 0.1023  1 Ge 1.70